Computed, not measured: a relaxed structure of Np3AlZn2Ga9 at the PBE level of DFT.

The structure in POSCAR format:
```
Np3AlZn2Ga9
1.0
7.8088 0.0000 0.0000
-3.9044 6.7626 0.0000
0.0000 0.0000 6.3443
Np Al Zn Ga
3 1 2 9
Direct
0.3333 0.6667 0.6639 Np
0.0000 0.0000 0.0000 Np
0.6667 0.3333 0.3361 Np
0.0000 0.0000 0.5000 Al
0.3333 0.6667 0.1612 Zn
0.6667 0.3333 0.8388 Zn
0.8318 0.1682 0.6713 Ga
0.8318 0.6635 0.6713 Ga
0.3365 0.1682 0.6713 Ga
0.6635 0.8318 0.3287 Ga
0.1682 0.3365 0.3287 Ga
0.1682 0.8318 0.3287 Ga
0.5000 0.0000 0.0000 Ga
0.0000 0.5000 0.0000 Ga
0.5000 0.5000 0.0000 Ga
```

Values from the calculation:
Its volume is 22.3 Å³/atom. Its symmetry is No. 164. The energy relative to the elements comes out at 405.7 kJ/mol of formula units. For the magnetic moment, the calculation gives 13.6 μB/f.u. The calculated total energy comes out at -4.54 eV/atom. Its crystal system is trigonal. The value obtained for the density of states at the Fermi level is 1.962 states/eV per atom.